# Hf2MgZr | Alexandria via LeMat-Bulk | GGA-PBE | optimized geometry
# uncorrected energy = -7.4415 eV per atom
# calculated volume = 22.84 Å³/atom
data_Hf2MgZr
_space_group_name_H-M_alt 'R -3 m'
_space_group_IT_number 166
_space_group_name_Hall '-R 3 2"'
_cell_length_a 3.1934
_cell_length_b 3.1934
_cell_length_c 31.0335
_cell_angle_alpha 90.00
_cell_angle_beta 90.00
_cell_angle_gamma 120.00
loop_
_atom_site_label
_atom_site_fract_x
_atom_site_fract_y
_atom_site_fract_z
Hf1 0.0000 0.0000 0.2479
Mg1 0.0000 0.0000 0.0000
Zr1 0.0000 0.0000 0.5000